A relaxed SmHo3S6 crystal, computed with PBE.

## Properties
M_tot	0.0	μB per cell
total DFT energy (no corrections)	-6.407	eV/atom

Lattice parameters (Å, degrees): 11.0156 3.9570 11.2864 90.00 108.73 90.00
With the nearest neighbours (Å) after each atom.
Sites, in units of the cell vectors:
Ho 0.6811 0.2500 0.0023  7 S 2.68-2.92
S 0.4776 0.2500 0.1120  4 Ho 2.66-2.89
Ho 0.1609 0.2500 0.5856  6 S 2.65-2.78
S 0.3965 0.2500 0.5610  4 Ho 2.70-2.76
Ho 0.3189 0.7500 0.9977  7 S 2.68-2.92
S 0.2602 0.7500 0.2259  3 Ho 2.77-2.85, 2 Sm 3.00
S 0.9178 0.2500 0.5959  3 Ho 2.72-2.78, 2 Sm 3.03
S 0.1944 0.7500 0.7491  3 Ho 2.65-2.70, 1 Sm 2.93
S 0.5224 0.7500 0.8880  4 Ho 2.66-2.89
Ho 0.4372 0.2500 0.3321  6 S 2.66-2.77
Sm 0.9532 0.7500 0.8071  8 S 2.86-3.03
S 0.8848 0.7500 0.0368  3 Sm 2.86-2.92, 2 Ho 2.92
S 0.0822 0.7500 0.4041  3 Ho 2.72-2.78, 2 Sm 3.03
Sm 0.0468 0.2500 0.1929  8 S 2.86-3.03
Ho 0.5628 0.7500 0.6679  6 S 2.66-2.77
S 0.6035 0.7500 0.4390  4 Ho 2.70-2.76
S 0.8056 0.2500 0.2509  3 Ho 2.65-2.70, 1 Sm 2.93
S 0.1152 0.2500 0.9632  3 Sm 2.86-2.92, 2 Ho 2.92
S 0.7398 0.2500 0.7741  3 Ho 2.77-2.85, 2 Sm 3.00
Ho 0.8391 0.7500 0.4144  6 S 2.65-2.78